Entry from the Alexandria database: NbVW2 after structural relaxation (PBE-GGA).

Cell: 5.876 5.876 5.876 Å, 150.79 135.39 54.21°
Positions (direct):
Nb1 0.000 0.000 0.000
V1 0.500 0.500 0.000
W1 0.260 0.260 0.000
W2 0.740 0.740 0.000

Summary:
- Space group: No. 71
- Uncorrected energy: -10.493 eV per atom
- Energy relative to the elements: 75.3 kJ per mole of atoms